a:
Nb2Ni2F: relaxed, PBE with a Hubbard U.

- M_tot (μB per cell) = 0.001

Cell: 4.3545 4.3545 8.5231 Å, 90.00 90.00 90.00°
Closest atoms and distances in Å follow each position.
Space group I4/mmm (No. 139)
Inequivalent atoms, fractional coordinates:
Nb: 0.0000 0.5000 0.2500 [4 per cell]  4 Ni 2.42
Ni: 0.0000 0.0000 0.1255 [4 per cell]  1 Ni 2.14
F: 0.0000 0.0000 0.5000 [2 per cell]  8 Nb 3.05, 10 Ni 3.19-3.26

***

b:
Nb2Ni2F: relaxed, PBE with a Hubbard U.

- M_tot (μB per cell) = 0.000

Cell: 7.2867 7.2867 2.7249 Å, 90.00 90.00 90.00°
Closest atoms and distances in Å follow each position.
Space group P4/mbm (No. 127)
Inequivalent atoms, fractional coordinates:
Nb: 0.1755 0.3245 0.0000 [4 per cell]  6 Ni 2.53-2.57, 2 Nb 2.72
Ni: 0.1181 0.6181 0.5000 [4 per cell]  3 Ni 2.43-2.72, 6 Nb 2.53-2.57
F: 0.0000 0.0000 0.5000 [2 per cell]  2 F 2.72, 4 Ni 2.91, 8 Nb 3.01

***

The relative energies come out as a 0.311; b 0.000, with values in eV/atom.

***

a:
NbNiOF2: relaxed, PBE with a Hubbard U.

- M_tot (μB per cell) = 2.622

Cell: 4.2637 4.2637 3.9757 Å, 90.00 90.00 90.00°
Closest atoms and distances in Å follow each position.
Space group P4/mmm (No. 123)
Inequivalent atoms, fractional coordinates:
Nb: 0.0000 0.0000 0.0000 [1 per cell]  2 O 1.99, 4 F 2.13
Ni: 0.5000 0.5000 0.5000 [1 per cell]  8 F 2.91, 4 O 3.01
O: 0.0000 0.0000 0.5000 [1 per cell]  2 Nb 1.99
F: 0.0000 0.5000 0.0000 [2 per cell]  2 Nb 2.13

***

b:
NbNiOF2: relaxed, PBE with a Hubbard U.

- M_tot (μB per cell) = 5.000

Cell: 3.8008 3.8008 4.2682 Å, 90.00 90.00 90.00°
Closest atoms and distances in Å follow each position.
Space group P4/mmm (No. 123)
Inequivalent atoms, fractional coordinates:
Nb: 0.0000 0.0000 0.0000 [1 per cell]  4 O 2.69, 8 F 2.86
Ni: 0.5000 0.5000 0.5000 [1 per cell]  4 F 1.90
O: 0.5000 0.5000 0.0000 [1 per cell]  2 Ni 2.13
F: 0.0000 0.5000 0.5000 [2 per cell]  2 Ni 1.90

***

The relative energies come out as a 0.000; b 0.484, with values in eV/atom.